1.
A plane-wave DFT calculation with PBE was carried out for a relaxed ZnBiNO crystal.

a = 5.793 Å, b = 8.447 Å, c = 5.380 Å
α = 90.00°, β = 90.00°, γ = 90.00°
Fractional positions:
Zn 0.088 0.077 0.000
Zn 0.412 0.077 0.500
Zn 0.588 0.923 0.000
Zn 0.912 0.923 0.500
Bi 0.039 0.674 0.029
Bi 0.461 0.674 0.529
Bi 0.539 0.326 0.029
Bi 0.961 0.326 0.529
N 0.091 0.106 0.629
N 0.409 0.106 0.129
N 0.591 0.894 0.629
N 0.909 0.894 0.129
O 0.104 0.719 0.634
O 0.396 0.719 0.134
O 0.604 0.281 0.634
O 0.896 0.281 0.134

Computed properties:
Space group: Pca2_1 (29)
Crystal system: orthorhombic
Relative energy among the computed polymorphs (meV per atom): 1



2.
A plane-wave DFT calculation with PBE was carried out for a relaxed ZnBiNO crystal.

a = 3.663 Å, b = 5.632 Å, c = 5.920 Å
α = 90.00°, β = 90.00°, γ = 90.00°
Fractional positions:
Zn 0.000 0.219 0.000
Zn 0.000 0.781 0.500
Bi 0.500 0.269 0.473
Bi 0.500 0.731 0.973
N 0.500 0.359 0.077
N 0.500 0.641 0.577
O 0.000 0.116 0.672
O 0.000 0.884 0.172

Computed properties:
Space group: Pmc2_1 (26)
Crystal system: orthorhombic
Relative energy among the computed polymorphs (meV per atom): 95



3.
A plane-wave DFT calculation with PBE was carried out for a relaxed ZnBiNO crystal.

a = 3.728 Å, b = 3.728 Å, c = 7.993 Å
α = 90.00°, β = 90.00°, γ = 90.00°
Fractional positions:
Zn 0.250 0.750 0.000
Zn 0.750 0.250 0.000
Bi 0.250 0.250 0.333
Bi 0.750 0.750 0.667
N 0.250 0.250 0.867
N 0.750 0.750 0.133
O 0.250 0.750 0.500
O 0.750 0.250 0.500

Computed properties:
Space group: P4/nmm (129)
Crystal system: tetragonal
Relative energy among the computed polymorphs (meV per atom): 211